Entry 1:
Here is a relaxed Co2NiSb crystal from Alexandria via LeMat-Bulk. Energies are from PBE.

Properties
- uncorrected energy (eV/atom) = -5.684
- mass density (g cm⁻³) = 8.45
- ΔE_f (raw) (eV per atom) = 0.345
- M_tot (Bohr magnetons per cell) = 11.77

a b c (Å): 3.647 3.647 17.628
angles (deg): 90.00 90.00 90.00
Space group I-42d (No. 122)
One atom of each set of equivalent atoms:
Co (0.200, 0.250, 0.125)
Ni (0.000, 0.000, 0.000)
Sb (0.000, 0.000, 0.500)



Entry 2:
Here is a relaxed TaMnGe crystal from Alexandria via LeMat-Bulk. Energies are from PBE.

Properties
- uncorrected energy (eV/atom) = -8.449
- mass density (g cm⁻³) = 11.11
- energy of formation (meV/atom) = 98
- M_tot (Bohr magnetons per cell) = 0.00

a b c (Å): 2.816 4.748 13.792
angles (deg): 90.00 90.00 90.00
Space group Immm (No. 71)
One atom of each set of equivalent atoms:
Ta (0.000, 0.000, 0.164)
Mn (0.000, 0.289, 0.500)
Ge (0.000, 0.000, 0.355)



Entry 3:
Here is a relaxed VGeCl crystal from Alexandria via LeMat-Bulk. Energies are from PBE.

Properties
- uncorrected energy (eV/atom) = -5.507
- mass density (g cm⁻³) = 4.45
- ΔE_f (raw) (eV per atom) = -0.312
- M_tot (Bohr magnetons per cell) = 7.67

a b c (Å): 6.214 5.875 7.209
angles (deg): 90.00 115.47 90.00
Space group P2_1 (No. 4)
One atom of each set of equivalent atoms:
V (0.008, 0.000, 0.267)
V (0.490, 0.503, 0.731)
Ge (0.133, 0.799, 0.002)
Ge (0.381, 0.302, 0.000)
Cl (0.116, 0.633, 0.483)
Cl (0.381, 0.135, 0.513)



Entry 4:
Here is a relaxed KScMo2 crystal from Alexandria via LeMat-Bulk. Energies are from PBE.

Properties
- uncorrected energy (eV/atom) = -6.585
- mass density (g cm⁻³) = 4.25
- energy of formation (meV/atom) = 688
- M_tot (Bohr magnetons per cell) = 0.00

a b c (Å): 8.162 3.119 8.481
angles (deg): 90.00 93.41 90.00
Space group Cm (No. 8)
One atom of each set of equivalent atoms:
K (0.000, 0.000, 0.000)
Sc (0.276, 0.500, 0.389)
Mo (0.013, 0.500, 0.562)
Mo (0.235, 0.000, 0.680)



Entry 5:
Here is a relaxed ZnSeO4 crystal from Alexandria via LeMat-Bulk. Energies are from PBE.

Properties
- uncorrected energy (eV/atom) = -4.741
- mass density (g cm⁻³) = 5.18
- ΔE_f (raw) (eV per atom) = -0.643
- M_tot (Bohr magnetons per cell) = 0.00

a b c (Å): 10.524 4.794 5.312
angles (deg): 90.00 94.96 90.00
Space group C2/c (No. 15)
One atom of each set of equivalent atoms:
Zn (0.000, 0.220, 0.250)
Se (0.250, 0.250, 0.000)
O (0.098, 0.110, 0.953)
O (0.182, 0.448, 0.266)



Entry 6:
Here is a relaxed TmTiOsPd crystal from Alexandria via LeMat-Bulk. Energies are from PBE.

Properties
- uncorrected energy (eV/atom) = -7.699
- mass density (g cm⁻³) = 12.24
- energy of formation (meV/atom) = -502
- M_tot (Bohr magnetons per cell) = 0.00

a b c (Å): 6.531 6.531 6.531
angles (deg): 90.00 90.00 90.00
Space group F-43m (No. 216)
One atom of each set of equivalent atoms:
Tm (0.000, 0.000, 0.000)
Ti (0.000, 0.000, 0.500)
Os (0.250, 0.250, 0.750)
Pd (0.250, 0.250, 0.250)



Entry 7:
Here is a relaxed Mg2ZrBr crystal from Alexandria via LeMat-Bulk. Energies are from PBE.

Properties
- uncorrected energy (eV/atom) = -3.594
- mass density (g cm⁻³) = 3.91
- ΔE_f (raw) (eV per atom) = -0.242
- M_tot (Bohr magnetons per cell) = 0.00

a b c (Å): 3.655 5.510 9.261
angles (deg): 90.00 90.00 90.00
Space group Cmmm (No. 65)
One atom of each set of equivalent atoms:
Mg (0.000, 0.000, 0.238)
Zr (0.000, 0.500, 0.500)
Br (0.000, 0.500, 0.000)



Entry 8:
Here is a relaxed Li2CeBeAu4 crystal from Alexandria via LeMat-Bulk. Energies are from PBE.

Properties
- uncorrected energy (eV/atom) = -3.789
- mass density (g cm⁻³) = 11.16
- energy of formation (meV/atom) = -464
- M_tot (Bohr magnetons per cell) = 2.43

a b c (Å): 4.3947 4.3947 25.3749
angles (deg): 90.00 90.00 120.00
Space group R-3m (No. 166, hexagonal axes)
One atom of each set of equivalent atoms:
Li (0.0000, 0.0000, 0.2374)
Ce (0.0000, 0.0000, 0.0000)
Be (0.0000, 0.0000, 0.5000)
Au (0.0000, 0.0000, 0.1346)
Au (0.0000, 0.0000, 0.4033)



Number 3 is which compound? VGeCl



What is the mass density in the fifth record? 5.18 g cm⁻³



Among the records above, which one has the highest mass density? TmTiOsPd



Which of these has the highest M_tot? Co2NiSb